# 1
UTi2Tl | PBE | relaxed

Structure (POSCAR):
```
UTi2Tl
1.0
3.088 0.000 0.000
1.544 2.674 0.000
1.544 0.891 9.898
Tl U Ti
1 1 2
direct
0.500 0.500 0.500
0.000 0.000 0.000
0.250 0.250 0.249
0.750 0.750 0.751
```

Computed properties:
crystal system = trigonal
final energy = -7.0961 eV/atom
relative energy among the computed polymorphs = 80 meV/atom
symmetry = R-3m
energy of formation = 265 meV per atom

=====

# 2
UTi2Tl | PBE | relaxed

Structure (POSCAR):
```
UTi2Tl
1.0
3.414 0.000 0.000
0.000 3.414 0.000
0.000 0.000 6.683
Tl U Ti
1 1 2
direct
0.500 0.500 0.500
0.500 0.500 0.000
0.000 0.000 0.781
0.000 0.000 0.219
```

Computed properties:
crystal system = tetragonal
final energy = -7.1617 eV/atom
relative energy among the computed polymorphs = 15 meV/atom
symmetry = P4/mmm
energy of formation = 199 meV per atom

=====

# 3
UTi2Tl | PBE | relaxed

Structure (POSCAR):
```
UTi2Tl
1.0
3.163 0.000 0.000
0.000 4.959 0.000
0.000 0.000 4.959
Tl U Ti
1 1 2
direct
0.500 0.000 0.000
0.500 0.500 0.500
0.000 0.000 0.500
0.000 0.500 0.000
```

Computed properties:
crystal system = tetragonal
final energy = -7.1763 eV/atom
relative energy among the computed polymorphs = 0 meV/atom
symmetry = P4/mmm
energy of formation = 185 meV per atom